# LaMgScSn2, relaxed, DFT GGA-PBE
data_LaMgScSn2
_chemical_formula_sum 'La1 Mg1 Sc1 Sn2'
_cell_length_a 7.244
_cell_length_b 7.244
_cell_length_c 7.244
_cell_angle_alpha 143.13
_cell_angle_beta 143.13
_cell_angle_gamma 53.13
_space_group_name_H-M_alt 'P 1'
_space_group_IT_number 1
loop_
_space_group_symop_operation_xyz
'x,y,z'
loop_
_atom_site_label
_atom_site_type_symbol
_atom_site_fract_x
_atom_site_fract_y
_atom_site_fract_z
La1 La 0.000 0.000 0.000
Mg1 Mg 0.750 0.250 0.500
Sc1 Sc 0.250 0.750 0.500
Sn1 Sn 0.388 0.388 0.000
Sn2 Sn 0.612 0.612 0.000
# Space group: I-4m2, No. 119
# Energy of formation (eV per atom): -0.59

=====

# LaTbMgSc, relaxed, DFT GGA-PBE
data_LaTbMgSc
_chemical_formula_sum 'La1 Tb1 Mg1 Sc1'
_cell_length_a 3.492
_cell_length_b 10.286
_cell_length_c 10.286
_cell_angle_alpha 18.71
_cell_angle_beta 90.00
_cell_angle_gamma 90.00
_space_group_name_H-M_alt 'P 1'
_space_group_IT_number 1
loop_
_space_group_symop_operation_xyz
'x,y,z'
loop_
_atom_site_label
_atom_site_type_symbol
_atom_site_fract_x
_atom_site_fract_y
_atom_site_fract_z
La1 La 0.000 0.000 0.000
Tb1 Tb 0.000 0.758 0.758
Mg1 Mg 0.500 0.376 0.376
Sc1 Sc 0.500 0.144 0.144
# Space group: Amm2, No. 38
# Energy of formation (eV per atom): 0.09
# Excess energy over the best structure of this formula in the dataset (meV/atom): 74

=====

# LaTbMgSc, relaxed, DFT GGA-PBE
data_LaTbMgSc
_chemical_formula_sum 'La1 Tb1 Mg1 Sc1'
_cell_length_a 5.491
_cell_length_b 5.491
_cell_length_c 5.491
_cell_angle_alpha 60.00
_cell_angle_beta 60.00
_cell_angle_gamma 60.00
_space_group_name_H-M_alt 'P 1'
_space_group_IT_number 1
loop_
_space_group_symop_operation_xyz
'x,y,z'
loop_
_atom_site_label
_atom_site_type_symbol
_atom_site_fract_x
_atom_site_fract_y
_atom_site_fract_z
La1 La 0.000 0.000 0.000
Tb1 Tb 0.500 0.500 0.500
Mg1 Mg 0.750 0.750 0.750
Sc1 Sc 0.250 0.250 0.250
# Space group: F-43m, No. 216
# Energy of formation (eV per atom): 0.02
# Excess energy over the best structure of this formula in the dataset (meV/atom): 0

=====

# La2MgScTc, relaxed, DFT GGA-PBE
data_La2MgScTc
_chemical_formula_sum 'La2 Mg1 Sc1 Tc1'
_cell_length_a 5.447
_cell_length_b 5.447
_cell_length_c 5.194
_cell_angle_alpha 90.00
_cell_angle_beta 90.00
_cell_angle_gamma 90.00
_space_group_name_H-M_alt 'P 1'
_space_group_IT_number 1
loop_
_space_group_symop_operation_xyz
'x,y,z'
loop_
_atom_site_label
_atom_site_type_symbol
_atom_site_fract_x
_atom_site_fract_y
_atom_site_fract_z
La1 La 0.000 0.500 0.000
La2 La 0.500 0.000 0.000
Mg1 Mg 0.000 0.000 0.500
Sc1 Sc 0.500 0.500 0.500
Tc1 Tc 0.500 0.500 0.000
# Space group: P4/mmm, No. 123
# Energy of formation (eV per atom): 0.04

=====

# LaMgSc2Tc, relaxed, DFT GGA-PBE
data_LaMgSc2Tc
_chemical_formula_sum 'La1 Mg1 Sc2 Tc1'
_cell_length_a 4.969
_cell_length_b 4.969
_cell_length_c 5.332
_cell_angle_alpha 90.00
_cell_angle_beta 90.00
_cell_angle_gamma 90.00
_space_group_name_H-M_alt 'P 1'
_space_group_IT_number 1
loop_
_space_group_symop_operation_xyz
'x,y,z'
loop_
_atom_site_label
_atom_site_type_symbol
_atom_site_fract_x
_atom_site_fract_y
_atom_site_fract_z
La1 La 0.000 0.000 0.000
Mg1 Mg 0.500 0.500 0.000
Sc1 Sc 0.000 0.500 0.500
Sc2 Sc 0.500 0.000 0.500
Tc1 Tc 0.500 0.500 0.500
# Space group: P4/mmm, No. 123
# Energy of formation (eV per atom): 0.03

=====

# LaThMgSc, relaxed, DFT GGA-PBE
data_LaThMgSc
_chemical_formula_sum 'La1 Th1 Mg1 Sc1'
_cell_length_a 5.506
_cell_length_b 5.506
_cell_length_c 5.506
_cell_angle_alpha 60.00
_cell_angle_beta 60.00
_cell_angle_gamma 60.00
_space_group_name_H-M_alt 'P 1'
_space_group_IT_number 1
loop_
_space_group_symop_operation_xyz
'x,y,z'
loop_
_atom_site_label
_atom_site_type_symbol
_atom_site_fract_x
_atom_site_fract_y
_atom_site_fract_z
La1 La 0.000 0.000 0.000
Th1 Th 0.500 0.500 0.500
Mg1 Mg 0.750 0.750 0.750
Sc1 Sc 0.250 0.250 0.250
# Space group: F-43m, No. 216
# Energy of formation (eV per atom): 0.08
# Excess energy over the best structure of this formula in the dataset (meV/atom): 113

=====

# LaThMgSc, relaxed, DFT GGA-PBE
data_LaThMgSc
_chemical_formula_sum 'La1 Th1 Mg1 Sc1'
_cell_length_a 3.597
_cell_length_b 3.597
_cell_length_c 8.941
_cell_angle_alpha 90.00
_cell_angle_beta 90.00
_cell_angle_gamma 90.00
_space_group_name_H-M_alt 'P 1'
_space_group_IT_number 1
loop_
_space_group_symop_operation_xyz
'x,y,z'
loop_
_atom_site_label
_atom_site_type_symbol
_atom_site_fract_x
_atom_site_fract_y
_atom_site_fract_z
La1 La 0.000 0.000 0.000
Th1 Th 0.500 0.500 0.724
Mg1 Mg 0.500 0.500 0.273
Sc1 Sc 0.000 0.000 0.482
# Space group: P4mm, No. 99
# Energy of formation (eV per atom): -0.03
# Excess energy over the best structure of this formula in the dataset (meV/atom): 0

=====

# LaMgSc2Tl, relaxed, DFT GGA-PBE
data_LaMgSc2Tl
_chemical_formula_sum 'La1 Mg1 Sc2 Tl1'
_cell_length_a 5.343
_cell_length_b 5.343
_cell_length_c 5.984
_cell_angle_alpha 90.00
_cell_angle_beta 90.00
_cell_angle_gamma 90.00
_space_group_name_H-M_alt 'P 1'
_space_group_IT_number 1
loop_
_space_group_symop_operation_xyz
'x,y,z'
loop_
_atom_site_label
_atom_site_type_symbol
_atom_site_fract_x
_atom_site_fract_y
_atom_site_fract_z
La1 La 0.000 0.000 0.000
Mg1 Mg 0.500 0.500 0.500
Sc1 Sc 0.000 0.500 0.000
Sc2 Sc 0.500 0.000 0.000
Tl1 Tl 0.000 0.000 0.500
# Space group: P4/mmm, No. 123
# Energy of formation (eV per atom): 0.91

=====

Number 1: total magnetic moment 0.0 Bohr magnetons per cell. Number 2: total magnetic moment 0.1 Bohr magnetons per cell. Number 3: total magnetic moment 0.0 Bohr magnetons per cell. Number 4: total magnetic moment 0.0 Bohr magnetons per cell. Number 5: total magnetic moment 0.0 Bohr magnetons per cell. Number 6: total magnetic moment 0.0 Bohr magnetons per cell. Number 7: total magnetic moment 0.0 Bohr magnetons per cell. Number 8: total magnetic moment 0.0 Bohr magnetons per cell.